(1)
Computed, not measured: PrCu6 after structural relaxation at the PBE level of DFT.

Summary:
Space group: P2_1/c (14)
Formation energy: -0.1293 eV/atom

Cell: 10.1443 5.1619 8.0802 Å, 90.69 90.00 90.00°
Last column: nearest neighbours and their distance in Å.
Fractional coordinates of all 28 atoms:
Pr1 0.0633 0.7554 0.7605  13 Cu 2.92-3.24
Pr2 0.9367 0.2446 0.2395  13 Cu 2.92-3.24
Pr3 0.4367 0.7554 0.2605  13 Cu 2.92-3.24
Pr4 0.5633 0.2446 0.7395  13 Cu 2.92-3.24
Cu1 0.5169 0.7494 0.8999  6 Cu 2.46-2.60
Cu2 0.3091 0.9975 0.9329  9 Cu 2.47-2.75
Cu3 0.6433 0.2517 0.3518  8 Cu 2.53-2.80
Cu4 0.8567 0.2517 0.8518  8 Cu 2.53-2.80
Cu5 0.2438 0.2516 0.1807  7 Cu 2.47-2.59
Cu6 0.7438 0.7484 0.3193  7 Cu 2.47-2.59
Cu7 0.8091 0.0025 0.5671  9 Cu 2.47-2.75
Cu8 0.3567 0.7483 0.6482  8 Cu 2.53-2.80
Cu9 0.1909 0.9975 0.4329  9 Cu 2.47-2.75
Cu10 0.0978 0.2625 0.9328  5 Cu 2.49-2.59
Cu11 0.5978 0.7375 0.5672  5 Cu 2.49-2.59
Cu12 0.9022 0.7375 0.0672  5 Cu 2.49-2.59
Cu13 0.6909 0.0025 0.0671  9 Cu 2.47-2.75
Cu14 0.3101 0.5085 0.9351  9 Cu 2.46-2.70
Cu15 0.8101 0.4915 0.5649  9 Cu 2.46-2.70
Cu16 0.7562 0.7484 0.8193  7 Cu 2.47-2.59
Cu17 0.9831 0.7494 0.3999  6 Cu 2.46-2.60
Cu18 0.4831 0.2506 0.1001  6 Cu 2.46-2.60
Cu19 0.1433 0.7483 0.1482  8 Cu 2.53-2.80
Cu20 0.4022 0.2625 0.4328  5 Cu 2.49-2.59
Cu21 0.0169 0.2506 0.6001  6 Cu 2.46-2.60
Cu22 0.1899 0.5085 0.4351  9 Cu 2.46-2.70
Cu23 0.2562 0.2516 0.6807  7 Cu 2.47-2.59
Cu24 0.6899 0.4915 0.0649  9 Cu 2.46-2.70



(2)
Computed, not measured: BaHgTe2I after structural relaxation at the PBE level of DFT.

Summary:
Space group: P4/mmm (123)
Formation energy from raw total energies: -1.25 eV/f.u.

Cell: 6.1245 5.7746 6.1245 Å, 90.00 90.00 90.00°
Last column: nearest neighbours and their distance in Å.
Fractional coordinates of all 5 atoms:
I1 0.0000 0.0000 0.0000  2 Hg 2.89, 4 Te 3.06
Te1 0.0000 0.0000 0.5000  2 I 3.06
Te2 0.5000 0.0000 0.0000  2 I 3.06
Hg1 0.0000 0.5000 0.0000  2 I 2.89
Ba1 0.5000 0.5000 0.5000  8 Te 4.21, 4 Hg 4.33



Across the entries above, spin magnetization takes the values 0.000 0.000 Bohr magnetons per cell, respectively.
Across the entries above, E above lowest polymorph takes the values 0.0000 0.3376 eV/atom, respectively.
Across the entries above, raw total energy takes the values -4.3231 -2.2614 eV/atom, respectively.